[1]
Tb8Pm: optimized geometry, GGA-PBE. Values from VASP.

The structure in Quantum ESPRESSO input format:
```
&SYSTEM
  ibrav = 0, nat = 9, ntyp = 2
/
ATOMIC_SPECIES
Tb 158.93 Tb.upf
Pm 145.00 Pm.upf
CELL_PARAMETERS angstrom
-5.357 5.357 2.521
5.357 -5.357 2.521
5.357 5.357 -2.521
ATOMIC_POSITIONS crystal
Tb 0.000 0.334 0.334
Tb 0.000 0.666 0.666
Tb 0.333 0.333 0.666
Tb 0.333 0.667 0.000
Tb 0.334 0.000 0.334
Tb 0.666 0.000 0.666
Tb 0.667 0.333 0.000
Tb 0.667 0.667 0.334
Pm 0.000 0.000 0.000
```

Calculated values
**Space-group type**: No. 139
**Formation energy from the elements**: 0.0157 eV per atom
**D(E_F)**: 13.1 states/eV per cell

[2]
Tb5Pm4: optimized geometry, GGA-PBE. Values from VASP.

The structure in Quantum ESPRESSO input format:
```
&SYSTEM
  ibrav = 0, nat = 18, ntyp = 2
/
ATOMIC_SPECIES
Tb 158.93 Tb.upf
Pm 145.00 Pm.upf
CELL_PARAMETERS angstrom
9.840 0.000 0.000
-4.920 8.522 0.000
0.000 0.000 7.070
ATOMIC_POSITIONS crystal
Tb 0.000 0.322 0.250
Tb 0.000 0.678 0.750
Tb 0.322 0.000 0.250
Tb 0.322 0.322 0.750
Tb 0.333 0.667 0.000
Tb 0.333 0.667 0.500
Tb 0.667 0.333 0.000
Tb 0.667 0.333 0.500
Tb 0.678 0.000 0.750
Tb 0.678 0.678 0.250
Pm 0.000 0.000 0.000
Pm 0.000 0.000 0.500
Pm 0.000 0.347 0.750
Pm 0.000 0.653 0.250
Pm 0.347 0.000 0.750
Pm 0.347 0.347 0.250
Pm 0.653 0.000 0.250
Pm 0.653 0.653 0.750
```

Calculated values
**Space-group type**: No. 193
**Formation energy from the elements**: 0.0606 eV per atom
**D(E_F)**: 27.4 states/eV per cell

Look up the formation energy from the elements of the second one.
0.0606 eV per atom

The lowest formation energy from the elements belongs to which entry?
Tb8Pm

Number 1 is which compound?
Tb8Pm

Among the records above, which one has the lowest formation energy from the elements?
Tb8Pm